KTmIn4 | PBE | relaxed

Unit cell a=6.164 b=6.164 c=6.164 alpha=60.00 beta=60.00 gamma=60.00
Positions (direct):
1 K 0.000 0.000 0.000
2 Tm 0.750 0.750 0.750
3 In 0.375 0.375 0.375
4 In 0.375 0.375 0.874
5 In 0.375 0.874 0.375
6 In 0.874 0.375 0.375

Calculated total energy, eV per cell: -17.15
ρ, kg/m3: 6692